First-principles (PBE-GGA) data for a geometry-optimized LiCoCl2 structure, as listed in Alexandria.

The calculation puts the formation energy without anion corrections at -3.08 eV per formula unit. For the total energy, the calculation gives -3.949 eV per atom. The calculation puts the spin magnetization at 2.00 μB per formula unit. As for the energy above the lowest structure with this stoichiometry: 0.0242 eV per atom.

The structure belongs to space group R-3m (No. 166, hexagonal axes); the cell edges are 3.6682, 3.6682 and 16.9014 Å and the angles 90.00°, 90.00° and 120.00°. The asymmetric unit holds Li at (0.0000, 0.0000, 0.0000), Co at (0.0000, 0.0000, 0.5000) and Cl at (0.0000, 0.0000, 0.2456).

First-principles (PBE-GGA) data for a geometry-optimized LiCo2Cl structure, as listed in Alexandria.

The calculation puts the formation energy without anion corrections at 1.77 eV per formula unit. For the total energy, the calculation gives -4.051 eV per atom. The calculation puts the spin magnetization at 3.54 μB per formula unit. As for the energy above the lowest structure with this stoichiometry: 0.6079 eV per atom.

The structure belongs to space group R-3m (No. 166, hexagonal axes); the cell edges are 2.8291, 2.8291 and 24.1252 Å and the angles 90.00°, 90.00° and 120.00°. The asymmetric unit holds Li at (0.0000, 0.0000, 0.0000), Co at (0.0000, 0.0000, 0.2433) and Cl at (0.0000, 0.0000, 0.5000).

First-principles (PBE-GGA) data for a geometry-optimized LiCoCl2 structure, as listed in Alexandria.

The calculation puts the formation energy without anion corrections at -1.86 eV per formula unit. For the total energy, the calculation gives -3.644 eV per atom. The calculation puts the spin magnetization at 2.01 μB per formula unit. As for the energy above the lowest structure with this stoichiometry: 0.3300 eV per atom.

The structure belongs to space group P4/mmm (No. 123); the cell edges are 4.5157, 4.5157 and 3.1053 Å and the angles 90.00°, 90.00° and 90.00°. The asymmetric unit holds Li at (0.0000, 0.0000, 0.0000), Co at (0.5000, 0.5000, 0.0000) and Cl at (0.0000, 0.5000, 0.5000).

First-principles (PBE-GGA) data for a geometry-optimized LiCo2Cl structure, as listed in Alexandria.

The calculation puts the formation energy without anion corrections at 2.05 eV per formula unit. For the total energy, the calculation gives -3.979 eV per atom. The calculation puts the spin magnetization at 3.75 μB per formula unit. As for the energy above the lowest structure with this stoichiometry: 0.6798 eV per atom.

The structure belongs to space group Cmmm (No. 65); the cell edges are 2.8678, 4.9060 and 8.2117 Å and the angles 90.00°, 90.00° and 90.00°. The asymmetric unit holds Li at (0.0000, 0.0000, 0.0000), Co at (0.0000, 0.5000, 0.2670) and Cl at (0.0000, 0.0000, 0.5000).

First-principles (PBE-GGA) data for a geometry-optimized LiCo2Cl structure, as listed in Alexandria.

The calculation puts the formation energy without anion corrections at -0.60 eV per formula unit. For the total energy, the calculation gives -4.643 eV per atom. The calculation puts the spin magnetization at 3.87 μB per formula unit. As for the energy above the lowest structure with this stoichiometry: 0.0160 eV per atom.

The structure belongs to space group I4/mmm (No. 139); the cell edges are 3.1646, 3.1646 and 11.8201 Å and the angles 90.00°, 90.00° and 90.00°. The asymmetric unit holds Li at (0.0000, 0.0000, 0.0000), Co at (0.0000, 0.0000, 0.2881) and Cl at (0.0000, 0.0000, 0.5000).

First-principles (PBE-GGA) data for a geometry-optimized LiCoCl4 structure, as listed in Alexandria.

The calculation puts the formation energy without anion corrections at -5.07 eV per formula unit. For the total energy, the calculation gives -3.580 eV per atom. The calculation puts the spin magnetization at 2.00 μB per formula unit.

The structure belongs to space group P4_2/mmc (No. 131); the cell edges are 6.8037, 6.8037 and 9.0616 Å and the angles 90.00°, 90.00° and 90.00°. The asymmetric unit holds Li at (0.0000, 0.0000, 0.0000), Co at (0.0000, 0.5000, 0.0000) and Cl at (0.2253, 0.2740, 0.0000).

First-principles (PBE-GGA) data for a geometry-optimized LiCoCl2 structure, as listed in Alexandria.

The calculation puts the formation energy without anion corrections at -3.02 eV per formula unit. For the total energy, the calculation gives -3.934 eV per atom. The calculation puts the spin magnetization at 2.00 μB per formula unit. As for the energy above the lowest structure with this stoichiometry: 0.0392 eV per atom.

The structure belongs to space group P4mm (No. 99); the cell edges are 3.5948, 3.5948 and 5.0775 Å and the angles 90.00°, 90.00° and 90.00°. The asymmetric unit holds Li at (0.0000, 0.0000, 0.0000), Co at (0.5000, 0.5000, 0.4994), Cl at (0.0000, 0.0000, 0.5009) and Cl at (0.5000, 0.5000, 0.0005).

First-principles (PBE-GGA) data for a geometry-optimized LiCo4Cl structure, as listed in Alexandria.

The calculation puts the formation energy without anion corrections at 2.72 eV per formula unit. For the total energy, the calculation gives -4.910 eV per atom. The calculation puts the spin magnetization at 7.82 μB per formula unit.

The structure belongs to space group F-43m (No. 216); the cell edges are 6.9106, 6.9106 and 6.9106 Å and the angles 90.00°, 90.00° and 90.00°. The asymmetric unit holds Li at (0.0000, 0.0000, 0.0000), Co at (0.1251, 0.1251, 0.3749) and Cl at (0.2500, 0.2500, 0.7500).